(1)
A plane-wave DFT calculation with GGA-PBE was carried out for a relaxed TiGeTe crystal.

Values from the calculation:
* raw formation energy: -0.4007 eV/atom
* volume: 244.7 Å³ per cell
* SG: Pnma (62)

a b c (Å): 3.600 5.367 12.667
angles (deg): 90.00 90.00 90.00
Fractional positions:
1 Te 0.501 0.500 0.958
2 Te 0.001 0.000 0.042
3 Te 0.499 0.000 0.542
4 Te 0.999 0.500 0.458
5 Ge 0.500 0.749 0.250
6 Ge 0.000 0.251 0.750
7 Ge 0.500 0.249 0.250
8 Ge 0.000 0.751 0.750
9 Ti 0.000 0.000 0.364
10 Ti 0.500 0.000 0.864
11 Ti 0.000 0.500 0.136
12 Ti 0.500 0.500 0.636

---

(2)
A plane-wave DFT calculation with GGA-PBE was carried out for a relaxed ZnInNiH crystal.

Values from the calculation:
* energy above the most stable polymorph in this dataset: 0.031 eV per atom
* volume: 56.8 Å³ per cell
* SG: P1 (1)

a b c (Å): 3.012 4.235 4.756
angles (deg): 96.52 109.56 89.94
Fractional positions:
1 H 0.564 0.420 0.168
2 Ni 0.726 0.631 0.481
3 In 0.287 0.144 0.594
4 Zn 0.989 0.671 0.032

---

(3)
A plane-wave DFT calculation with GGA-PBE was carried out for a relaxed Sc3VAg3Se8 crystal.

Values from the calculation:
* raw formation energy: -0.9287 eV/atom
* volume: 345.7 Å³ per cell
* SG: C2/m (12)

a b c (Å): 7.650 7.654 8.138
angles (deg): 118.23 90.00 119.98
Fractional positions:
1 Se 0.232 0.989 0.720
2 Se 0.768 0.535 0.280
3 Se 0.768 0.011 0.280
4 Se 0.744 0.489 0.732
5 Se 0.243 0.011 0.280
6 Se 0.232 0.465 0.720
7 Se 0.757 0.989 0.720
8 Se 0.256 0.511 0.268
9 Ag 0.000 0.000 0.000
10 Ag 0.500 0.500 0.000
11 Ag 0.000 0.500 0.000
12 Sc 0.500 0.000 0.500
13 Sc 0.500 0.500 0.500
14 Sc 0.000 0.500 0.500
15 V 0.000 0.000 0.500

---

(4)
A plane-wave DFT calculation with GGA-PBE was carried out for a relaxed DyCdPt6 crystal.

Values from the calculation:
* DFT formation energy: -0.610 eV/atom
* volume: 136.0 Å³ per cell
* SG: P4/mmm (123)

a b c (Å): 4.086 4.086 8.150
angles (deg): 90.00 90.00 90.00
Fractional positions:
1 Pt 0.000 0.500 0.255
2 Pt 0.000 0.500 0.745
3 Pt 0.500 0.500 0.000
4 Pt 0.500 0.000 0.745
5 Pt 0.500 0.000 0.255
6 Pt 0.500 0.500 0.500
7 Dy 0.000 0.000 0.000
8 Cd 0.000 0.000 0.500

---

(5)
A plane-wave DFT calculation with GGA-PBE was carried out for a relaxed BaIn2Tc crystal.

Values from the calculation:
* energy above the most stable polymorph in this dataset: 0.299 eV per atom
* DFT formation energy: 0.431 eV/atom
* volume: 292.0 Å³ per cell
* SG: I-42d (122)

a b c (Å): 5.727 5.727 9.780
angles (deg): 72.98 72.98 90.00
Fractional positions:
1 In 0.375 0.590 0.750
2 In 0.340 0.625 0.250
3 In 0.410 0.125 0.250
4 In 0.875 0.660 0.750
5 Tc 0.500 0.500 0.000
6 Tc 0.250 0.750 0.500
7 Ba 0.000 0.000 0.000
8 Ba 0.750 0.250 0.500

---

(6)
A plane-wave DFT calculation with GGA-PBE was carried out for a relaxed NaBiP2S crystal.

Values from the calculation:
* raw formation energy: 0.6528 eV/atom
* energy above the most stable polymorph in this dataset: 0.000 eV per atom
* volume: 157.1 Å³ per cell
* SG: P4/mmm (123)

a b c (Å): 5.388 5.388 5.413
angles (deg): 90.00 90.00 90.00
Fractional positions:
1 P 0.000 0.500 0.000
2 P 0.500 0.000 0.000
3 Bi 0.000 0.000 0.000
4 Na 0.500 0.500 0.500
5 S 0.000 0.000 0.500

---

(7)
A plane-wave DFT calculation with GGA-PBE was carried out for a relaxed ZrInGaAu crystal.

Values from the calculation:
* DFT formation energy: -0.427 eV/atom
* volume: 78.3 Å³ per cell
* SG: Pmmm (47)

a b c (Å): 4.170 4.162 4.508
angles (deg): 90.00 90.00 90.00
Fractional positions:
1 In 0.000 0.500 0.500
2 Au 0.500 0.000 0.500
3 Zr 0.500 0.500 0.000
4 Ga 0.000 0.000 0.000

---

(8)
A plane-wave DFT calculation with GGA-PBE was carried out for a relaxed NdThBi crystal.

Values from the calculation:
* DFT formation energy: -0.534 eV/atom
* volume: 196.0 Å³ per cell
* SG: P4/nmm (129)

a b c (Å): 4.613 4.613 9.212
angles (deg): 90.00 90.00 90.00
Fractional positions:
1 Nd 0.500 0.000 0.140
2 Nd 0.000 0.500 0.860
3 Th 0.500 0.500 0.500
4 Th 0.000 0.000 0.500
5 Bi 0.000 0.500 0.219
6 Bi 0.500 0.000 0.781